## CdP2Pt (PBEsol)

Data for a relaxed CdP2Pt crystal.

Cell and atoms, written as POSCAR:
```
CdP2Pt
1.0
3.876 0.000 0.000
0.000 3.241 0.000
-1.828 0.000 5.627
Cd P Pt
1 2 1
direct
0.000 0.000 0.000
0.422 0.000 0.451
0.806 0.500 0.463
0.386 0.500 0.754
```

Properties
ΔE_f = -55 meV/atom
Energy = -19.96 eV per cell
Crystal system = monoclinic
Calculated volume = 17.671 A^3/atom